! GGA-PBE SiRu2Cl, relaxed; values from VASP
&SYSTEM
  ibrav = 0, nat = 4, ntyp = 3
/
ATOMIC_SPECIES
Si 28.09 Si.upf
Ru 101.07 Ru.upf
Cl 35.45 Cl.upf
CELL_PARAMETERS angstrom
1.4778 0.8532 7.8663
-1.4778 0.8532 7.8663
0.0000 -1.7064 7.8663
ATOMIC_POSITIONS crystal
Si 0.0000 0.0000 0.0000
Ru 0.2625 0.2625 0.2625
Ru 0.5075 0.5075 0.5075
Cl 0.7497 0.7497 0.7497
! * space-group type: R3m (160)
! * raw formation energy: 0.310 eV per atom
! * relative energy among the computed polymorphs: 35.82 kJ per mole of atoms

---

! GGA-PBE InSnPb5, relaxed; values from VASP
&SYSTEM
  ibrav = 0, nat = 7, ntyp = 3
/
ATOMIC_SPECIES
In 114.82 In.upf
Sn 118.71 Sn.upf
Pb 207.20 Pb.upf
CELL_PARAMETERS angstrom
4.9021 0.0000 0.0000
0.0000 4.9021 0.0000
0.0000 0.0000 9.3506
ATOMIC_POSITIONS crystal
In 0.0000 0.0000 0.0000
Sn 0.0000 0.0000 0.5000
Pb 0.0000 0.5000 0.2286
Pb 0.0000 0.5000 0.7714
Pb 0.5000 0.0000 0.2286
Pb 0.5000 0.0000 0.7714
Pb 0.5000 0.5000 0.5000
! * space-group type: P4/mmm (123)
! * ΔE_f: 0.057 eV per atom
! * relative energy among the computed polymorphs: 0.00 kJ per mole of atoms

---

! GGA-PBE Tb5Pm4Tm, relaxed; values from VASP
&SYSTEM
  ibrav = 0, nat = 10, ntyp = 3
/
ATOMIC_SPECIES
Tb 158.93 Tb.upf
Pm 145.00 Pm.upf
Tm 168.93 Tm.upf
CELL_PARAMETERS angstrom
12.7895 -1.7974 0.0000
12.7895 1.7974 0.0000
-1.0061 0.0000 7.1082
ATOMIC_POSITIONS crystal
Tb 0.0000 0.0000 0.0000
Tb 0.2005 0.2005 0.1004
Tb 0.2005 0.2005 0.6000
Tb 0.7995 0.7995 0.4000
Tb 0.7995 0.7995 0.8996
Pm 0.4001 0.4001 0.2003
Pm 0.4002 0.4002 0.6994
Pm 0.5998 0.5998 0.3006
Pm 0.5999 0.5999 0.7997
Tm 0.0000 0.0000 0.5000
! * space-group type: C2/m (12)
! * ΔE_f: 0.015 eV per atom
! * relative energy among the computed polymorphs: 0.00 kJ per mole of atoms

---

! GGA-PBE Nb5PbSe8, relaxed; values from VASP
&SYSTEM
  ibrav = 0, nat = 14, ntyp = 3
/
ATOMIC_SPECIES
Nb 92.91 Nb.upf
Pb 207.20 Pb.upf
Se 78.96 Se.upf
CELL_PARAMETERS angstrom
9.3480 -1.7323 0.0000
9.3480 1.7323 0.0000
-2.1656 0.0000 9.1783
ATOMIC_POSITIONS crystal
Nb 0.0000 0.0000 0.0000
Nb 0.2877 0.2877 0.6301
Nb 0.3591 0.3591 0.9987
Nb 0.6409 0.6409 0.0013
Nb 0.7123 0.7123 0.3699
Pb 0.5000 0.5000 0.5000
Se 0.0847 0.0847 0.8084
Se 0.1506 0.1506 0.5090
Se 0.2414 0.2414 0.1596
Se 0.4305 0.4305 0.7998
Se 0.5695 0.5695 0.2002
Se 0.7586 0.7586 0.8404
Se 0.8494 0.8494 0.4910
Se 0.9153 0.9153 0.1916
! * space-group type: C2/m (12)
! * raw formation energy: -0.770 eV per atom

---

! GGA-PBE La6HoTl2, relaxed; values from VASP
&SYSTEM
  ibrav = 0, nat = 9, ntyp = 3
/
ATOMIC_SPECIES
La 138.91 La.upf
Ho 164.93 Ho.upf
Tl 204.38 Tl.upf
CELL_PARAMETERS angstrom
6.6921 -1.9445 0.0000
6.6921 1.9445 0.0000
-3.6393 0.0000 11.7217
ATOMIC_POSITIONS crystal
La 0.0235 0.0235 0.3430
La 0.3054 0.3054 0.4026
La 0.3243 0.3243 0.1236
La 0.6757 0.6757 0.8764
La 0.6946 0.6946 0.5974
La 0.9765 0.9765 0.6570
Ho 0.0000 0.0000 0.0000
Tl 0.3623 0.3623 0.8143
Tl 0.6377 0.6377 0.1857
! * space-group type: C2/m (12)
! * ΔE_f: -0.172 eV per atom
! * relative energy among the computed polymorphs: 0.00 kJ per mole of atoms

---

! GGA-PBE RbMgAu2, relaxed; values from VASP
&SYSTEM
  ibrav = 0, nat = 4, ntyp = 3
/
ATOMIC_SPECIES
Rb 85.47 Rb.upf
Mg 24.30 Mg.upf
Au 196.97 Au.upf
CELL_PARAMETERS angstrom
3.5508 0.0000 0.0000
0.0000 3.5508 0.0000
0.0000 0.0000 8.0106
ATOMIC_POSITIONS crystal
Rb 0.0000 0.0000 0.0000
Mg 0.0000 0.0000 0.5000
Au 0.5000 0.5000 0.3213
Au 0.5000 0.5000 0.6787
! * space-group type: P4/mmm (123)
! * ΔE_f: -0.328 eV per atom

---

! GGA-PBE K2RbGa2Au2, relaxed; values from VASP
&SYSTEM
  ibrav = 0, nat = 7, ntyp = 4
/
ATOMIC_SPECIES
K 39.10 K.upf
Rb 85.47 Rb.upf
Ga 69.72 Ga.upf
Au 196.97 Au.upf
CELL_PARAMETERS angstrom
6.2091 -2.3734 0.0000
6.2091 2.3734 0.0000
-2.0520 0.0000 9.3272
ATOMIC_POSITIONS crystal
K 0.1888 0.1888 0.1618
K 0.8112 0.8112 0.8382
Rb 0.5000 0.5000 0.5000
Ga 0.4582 0.4582 0.1141
Ga 0.5418 0.5418 0.8859
Au 0.0786 0.0786 0.8037
Au 0.9214 0.9214 0.1963
! * space-group type: C2/m (12)
! * ΔE_f: -0.223 eV per atom

---

! GGA-PBE CaLaH2S, relaxed; values from VASP
&SYSTEM
  ibrav = 0, nat = 5, ntyp = 4
/
ATOMIC_SPECIES
Ca 40.08 Ca.upf
La 138.91 La.upf
H 1.01 H.upf
S 32.06 S.upf
CELL_PARAMETERS angstrom
4.3683 0.0000 0.0000
0.0000 4.3683 0.0000
0.0000 0.0000 5.7262
ATOMIC_POSITIONS crystal
Ca 0.0000 0.0000 0.0000
La 0.5000 0.5000 0.5000
H 0.0000 0.5000 0.5000
H 0.5000 0.0000 0.5000
S 0.5000 0.5000 0.0000
! * space-group type: P4/mmm (123)

---

! GGA-PBE Li12InAg6, relaxed; values from VASP
&SYSTEM
  ibrav = 0, nat = 19, ntyp = 3
/
ATOMIC_SPECIES
Li 6.94 Li.upf
In 114.82 In.upf
Ag 107.87 Ag.upf
CELL_PARAMETERS angstrom
4.9710 2.8700 4.0342
-4.9710 2.8700 4.0342
0.0000 -5.7400 4.0342
ATOMIC_POSITIONS crystal
Li 0.0268 0.3064 0.9242
Li 0.0758 0.9732 0.6936
Li 0.1205 0.3468 0.4663
Li 0.3064 0.9242 0.0268
Li 0.3468 0.4663 0.1205
Li 0.4663 0.1205 0.3468
Li 0.5337 0.8795 0.6532
Li 0.6532 0.5337 0.8795
Li 0.6936 0.0758 0.9732
Li 0.8795 0.6532 0.5337
Li 0.9242 0.0268 0.3064
Li 0.9732 0.6936 0.0758
In 0.5000 0.5000 0.5000
Ag 0.2208 0.6187 0.7758
Ag 0.2242 0.7792 0.3813
Ag 0.3813 0.2242 0.7792
Ag 0.6187 0.7758 0.2208
Ag 0.7758 0.2208 0.6187
Ag 0.7792 0.3813 0.2242
! * space-group type: R-3 (148)
! * ΔE_f: -0.147 eV per atom
! * relative energy among the computed polymorphs: 4.31 kJ per mole of atoms

---

! GGA-PBE Pr4Zn2Cd5, relaxed; values from VASP
&SYSTEM
  ibrav = 0, nat = 11, ntyp = 3
/
ATOMIC_SPECIES
Pr 140.91 Pr.upf
Zn 65.41 Zn.upf
Cd 112.41 Cd.upf
CELL_PARAMETERS angstrom
7.7997 0.0000 0.0000
0.0000 3.7732 0.0000
-0.7864 0.0000 10.0115
ATOMIC_POSITIONS crystal
Pr 0.1683 0.0000 0.3698
Pr 0.2564 0.0000 0.9420
Pr 0.7436 0.0000 0.0580
Pr 0.8317 0.0000 0.6302
Zn 0.0592 0.5000 0.1297
Zn 0.9408 0.5000 0.8703
Cd 0.1908 0.5000 0.6593
Cd 0.4384 0.5000 0.1977
Cd 0.5000 0.5000 0.5000
Cd 0.5616 0.5000 0.8023
Cd 0.8092 0.5000 0.3407
! * space-group type: P2/m (10)
! * ΔE_f: -0.268 eV per atom

---

! GGA-PBE DyLuZnPb, relaxed; values from VASP
&SYSTEM
  ibrav = 0, nat = 4, ntyp = 4
/
ATOMIC_SPECIES
Dy 162.50 Dy.upf
Lu 174.97 Lu.upf
Zn 65.41 Zn.upf
Pb 207.20 Pb.upf
CELL_PARAMETERS angstrom
0.0000 3.6721 3.6721
3.6721 0.0000 3.6721
3.6721 3.6721 0.0000
ATOMIC_POSITIONS crystal
Dy 0.0000 0.0000 0.0000
Lu 0.5000 0.5000 0.5000
Zn 0.7500 0.7500 0.7500
Pb 0.2500 0.2500 0.2500
! * space-group type: F-43m (216)
! * ΔE_f: -0.325 eV per atom

---

! GGA-PBE FeTc2SbOs, relaxed; values from VASP
&SYSTEM
  ibrav = 0, nat = 5, ntyp = 4
/
ATOMIC_SPECIES
Fe 55.84 Fe.upf
Tc 98.00 Tc.upf
Sb 121.76 Sb.upf
Os 190.23 Os.upf
CELL_PARAMETERS angstrom
4.3445 0.0000 0.0000
0.0000 4.3445 0.0000
0.0000 0.0000 4.6018
ATOMIC_POSITIONS crystal
Fe 0.0000 0.0000 0.0000
Tc 0.0000 0.5000 0.0000
Tc 0.5000 0.0000 0.0000
Sb 0.0000 0.0000 0.5000
Os 0.5000 0.5000 0.5000
! * space-group type: P4/mmm (123)
! * raw formation energy: 1.443 eV per atom

---

In order of appearance, total DFT energy (no corrections) = -6.146; -3.555; -4.648; -6.623; -4.492; -2.608; -2.476; -4.378; -2.400; -2.654; -3.851; -7.466 eV per atom.